Be2TlFeCl PBE-GGA relaxed; V = 18.13 A^3/atom; energy relative to the elements, uncorrected = 3.230 eV/f.u.
1.0
4.445 0.000 0.000
0.000 4.588 0.000
0.000 0.000 4.445
Be Cl Fe Tl
2 1 1 1
Direct
0.000 0.000 0.500 Be
0.500 0.000 0.000 Be
0.000 0.500 0.000 Cl
0.000 0.000 0.000 Fe
0.500 0.500 0.500 Tl



K4CeHo3Se8 PBE-GGA relaxed; V = 29.96 A^3/atom; energy relative to the elements, uncorrected = -27.809 eV/f.u.
1.0
-3.063 1.113 7.841
-7.335 -4.954 -2.162
7.638 -3.541 -1.111
K Se Ho Ce
4 8 3 1
Direct
0.000 0.000 0.500 K
0.000 0.000 0.000 K
0.500 0.000 0.500 K
0.500 0.000 0.000 K
0.273 0.294 0.033 Se
0.735 0.703 0.469 Se
0.265 0.297 0.531 Se
0.760 0.294 0.033 Se
0.760 0.294 0.521 Se
0.240 0.706 0.479 Se
0.240 0.706 0.967 Se
0.727 0.706 0.967 Se
0.000 0.500 0.500 Ho
0.500 0.500 0.000 Ho
0.500 0.500 0.500 Ho
0.000 0.500 0.000 Ce



InRuCl2 PBE-GGA relaxed; V = 23.60 A^3/atom; energy relative to the elements, uncorrected = -0.337 eV/f.u.; E above lowest polymorph = 156 meV/atom
1.0
3.485 0.007 0.000
-1.914 2.912 0.000
0.000 0.000 9.290
Cl In Ru
2 1 1
Direct
0.000 0.000 0.924 Cl
0.500 0.500 0.307 Cl
0.000 0.000 0.520 In
0.500 0.500 0.749 Ru